--- P ---
TbTm3Ru3 (GGA-PBE, relaxed); density = 10.53 g cm⁻³; DOS at the Fermi energy = 7.8 states/eV/cell; total magnetization = 0.00 μB/cell
1.0
-1.638 -6.377 -1.542
6.271 -0.931 -2.353
1.980 -1.972 6.071
Ru Tm Tb
6 6 2
direct
0.500 0.000 0.748
0.000 0.500 0.748
0.500 0.000 0.252
0.000 0.000 0.748
0.000 0.000 0.252
0.000 0.500 0.252
0.755 0.245 0.500
0.762 0.238 0.000
0.238 0.762 0.000
0.756 0.756 0.500
0.245 0.755 0.500
0.244 0.244 0.500
0.255 0.255 0.000
0.745 0.745 0.000

=====

--- Q ---
TbTm3Ru3 (GGA-PBE, relaxed); density = 10.81 g cm⁻³; DOS at the Fermi energy = 2.7 states/eV/cell; total magnetization = 0.00 μB/cell
1.0
5.458 0.012 -1.933
-2.719 4.701 -1.924
-0.007 0.012 5.790
Ru Tm Tb
3 3 1
direct
0.499 0.004 0.499
0.501 0.505 0.000
0.000 0.505 0.501
0.415 0.003 0.000
0.000 0.003 0.415
0.585 0.588 0.585
0.000 0.417 0.000

=====

Which one sits at the bottom of the stability order? P does.